[1]
The following is a DFT calculation (PBE) of a relaxed CaY2AgF crystal.

The structure in POSCAR format:
```
CaY2AgF
1.0
-0.5086 0.5848 5.8778
-1.9158 -4.5983 0.2917
5.4507 -2.2269 0.6932
Y Ca Ag F
2 1 1 1
Direct
0.0000 0.0000 0.5000
0.5000 0.0000 0.0000
0.0000 0.0000 0.0000
0.0000 0.5000 0.0000
0.5000 0.5000 0.5000
```

Output
**Magnetization**: 0.00 μB per formula unit
**N(E_F)**: 4.9 states/eV/cell
**Uncorrected energy**: -16.48 eV/cell
**Formation energy from raw total energies**: 3.17 eV/f.u.

---

[2]
The following is a DFT calculation (PBE) of a relaxed HfAg crystal.

The structure in POSCAR format:
```
HfAg
1.0
-4.9694 2.0861 1.1500
0.9951 -0.5991 5.3870
2.2360 5.2333 0.1690
Hf Ag
4 4
Direct
0.8047 0.8047 0.0000
0.3047 0.6953 0.5000
0.6953 0.3047 0.5000
0.1953 0.1953 0.0000
0.6844 0.3156 0.0000
0.1844 0.1844 0.5000
0.8156 0.8156 0.5000
0.3156 0.6844 0.0000
```

Output
**Magnetization**: 0.00 μB per formula unit
**N(E_F)**: 8.5 states/eV/cell
**Uncorrected energy**: -47.63 eV/cell
**Energy of formation from the pure elements**: 0.449 eV/atom

---

[3]
The following is a DFT calculation (PBE) of a relaxed MnMoS crystal.

The structure in POSCAR format:
```
MnMoS
1.0
4.9768 0.0000 -0.0022
0.0000 3.1960 0.0000
-2.4397 0.0000 5.3082
Mo Mn S
2 2 2
Direct
0.2781 0.0000 0.1829
0.0142 0.0000 0.5875
0.8695 0.5000 0.8724
0.3923 0.5000 0.9375
0.5335 0.0000 0.6571
0.8450 0.5000 0.2424
```

Output
**Magnetization**: 0.73 μB per formula unit
**N(E_F)**: 3.6 states/eV/cell
**Uncorrected energy**: -49.16 eV/cell
**Energy relative to the lowest polymorph listed for this composition**: 17.8 kJ/mol of formula units
**Formation energy from raw total energies**: -0.45 eV/f.u.

---

[4]
The following is a DFT calculation (PBE) of a relaxed HfZr2Ir crystal.

The structure in POSCAR format:
```
HfZr2Ir
1.0
-4.3825 -0.2763 2.1739
2.2879 -2.9193 4.2412
1.0675 4.8922 2.7915
Hf Zr Ir
2 4 2
Direct
0.9994 0.0000 0.3982
0.5006 0.5000 0.6018
0.0002 0.2494 0.8686
0.0002 0.7506 0.8686
0.4998 0.2506 0.1314
0.4998 0.7494 0.1314
0.0000 0.5000 0.3394
0.5000 0.0000 0.6606
```

Output
**Magnetization**: 0.00 μB per formula unit
**N(E_F)**: 9.8 states/eV/cell
**Uncorrected energy**: -74.43 eV/cell
**Energy relative to the lowest polymorph listed for this composition**: 62.1 kJ/mol of formula units
**Energy of formation from the pure elements**: -0.326 eV/atom

---

[5]
The following is a DFT calculation (PBE) of a relaxed PuCo2Sn crystal.

The structure in POSCAR format:
```
PuCo2Sn
1.0
3.2124 0.0000 0.0000
0.0000 4.5544 0.0000
0.0000 0.0000 4.5544
Co Sn Pu
2 1 1
Direct
0.0000 0.0000 0.5000
0.0000 0.5000 0.0000
0.5000 0.0000 0.0000
0.5000 0.5000 0.5000
```

Output
**Magnetization**: 3.86 μB per formula unit
**N(E_F)**: 11.5 states/eV/cell
**Uncorrected energy**: -32.39 eV/cell
**Energy of formation from the pure elements**: 0.038 eV/atom

---

[6]
The following is a DFT calculation (PBE) of a relaxed CsBaZrO4 crystal.

The structure in POSCAR format:
```
CsBaZrO4
1.0
6.0310 0.0000 0.0000
0.0000 6.0653 0.0000
-3.0155 0.0000 7.2103
Cs Ba Zr O
2 2 2 8
Direct
0.5899 0.7500 0.1798
0.4101 0.2500 0.8202
0.1117 0.2500 0.2234
0.8883 0.7500 0.7766
0.2416 0.7500 0.4832
0.7584 0.2500 0.5168
0.9054 0.2500 0.8109
0.3880 0.7500 0.7759
0.0946 0.7500 0.1891
0.6120 0.2500 0.2241
0.5000 0.5000 0.5000
0.0000 0.0000 0.5000
0.5000 0.0000 0.5000
0.0000 0.5000 0.5000
```

Output
**Magnetization**: 1.02 μB per formula unit
**N(E_F)**: 9.2 states/eV/cell
**Uncorrected energy**: -96.10 eV/cell
**Formation energy from raw total energies**: -16.89 eV/f.u.